1.
First-principles (PBE) data for TiNiN2 after structural relaxation, as listed in the Alexandria database.

Formation energy from raw total energies, eV/atom: -0.55
E_tot, eV per atom: -8.134

Cell: 5.5246 5.5246 5.5246 Å, 132.65 132.65 69.21°
Last column: nearest neighbours and their distance in Å.
Element x y z (fractional)
1 Ti 0.0000 0.0000 0.0000  4 N 1.94
2 Ti 0.7500 0.2500 0.5000  4 N 1.94
3 Ni 0.2500 0.7500 0.5000  4 N 1.93
4 Ni 0.5000 0.5000 0.0000  4 N 1.93
5 N 0.1274 0.6250 0.0024  2 Ni 1.93, 2 Ti 1.94
6 N 0.3750 0.3774 0.5024  2 Ni 1.93, 2 Ti 1.94
7 N 0.6226 0.1250 0.9976  2 Ni 1.93, 2 Ti 1.94
8 N 0.8750 0.8726 0.4976  2 Ni 1.93, 2 Ti 1.94



2.
First-principles (PBE) data for Y12Tm7Bi after structural relaxation, as listed in the Alexandria database.

E_tot, eV per atom: -5.525
Energy relative to the elements, eV/atom: 0.11

Cell: 8.8745 8.8745 8.8745 Å, 76.45 76.45 76.45°
Last column: nearest neighbours and their distance in Å.
Element x y z (fractional)
1 Y 0.0213 0.0213 0.6613  1 Tm 2.93, 1 Y 3.09
2 Y 0.0213 0.6613 0.0213  1 Tm 2.93, 1 Y 3.09
3 Y 0.2685 0.2685 0.6488  1 Bi 3.10, 1 Y 3.42
4 Y 0.2685 0.6488 0.2685  1 Bi 3.10, 1 Y 3.42
5 Y 0.3387 0.9787 0.9787  1 Tm 2.93, 1 Y 3.09
6 Y 0.3512 0.7315 0.7315  1 Bi 3.10, 1 Y 3.42
7 Y 0.6488 0.2685 0.2685  1 Bi 3.10, 1 Y 3.42
8 Y 0.6613 0.0213 0.0213  1 Tm 2.93, 1 Y 3.09
9 Y 0.7315 0.3512 0.7315  1 Bi 3.10, 1 Y 3.42
10 Y 0.7315 0.7315 0.3512  1 Bi 3.10, 1 Y 3.42
11 Y 0.9787 0.3387 0.9787  1 Tm 2.93, 1 Y 3.09
12 Y 0.9787 0.9787 0.3387  1 Tm 2.93, 1 Y 3.09
13 Tm 0.0000 0.0000 0.0000  6 Y 2.93
14 Tm 0.0144 0.3588 0.3588  9 Y 3.51-3.81, 3 Tm 3.78-3.87
15 Tm 0.3588 0.0144 0.3588  9 Y 3.51-3.81, 3 Tm 3.78-3.87
16 Tm 0.3588 0.3588 0.0144  9 Y 3.51-3.81, 3 Tm 3.78-3.87
17 Tm 0.6412 0.6412 0.9856  9 Y 3.51-3.81, 3 Tm 3.78-3.87
18 Tm 0.6412 0.9856 0.6412  9 Y 3.51-3.81, 3 Tm 3.78-3.87
19 Tm 0.9856 0.6412 0.6412  9 Y 3.51-3.81, 3 Tm 3.78-3.87
20 Bi 0.5000 0.5000 0.5000  6 Y 3.10



3.
First-principles (PBE) data for BiSbPt6 after structural relaxation, as listed in the Alexandria database.

Formation energy from raw total energies, eV/atom: -0.07
E_tot, eV per atom: -5.600

Cell: 4.2874 4.2874 7.7120 Å, 90.00 90.00 90.00°
Last column: nearest neighbours and their distance in Å.
Element x y z (fractional)
1 Bi 0.0000 0.0000 0.0000  12 Pt 2.95-3.03
2 Sb 0.0000 0.0000 0.5000  12 Pt 2.82-3.03
3 Pt 0.0000 0.5000 0.2631  2 Sb 2.82, 8 Pt 2.82-3.03, 2 Bi 2.95
4 Pt 0.0000 0.5000 0.7369  2 Sb 2.82, 8 Pt 2.82-3.03, 2 Bi 2.95
5 Pt 0.5000 0.0000 0.2631  2 Sb 2.82, 8 Pt 2.82-3.03, 2 Bi 2.95
6 Pt 0.5000 0.0000 0.7369  2 Sb 2.82, 8 Pt 2.82-3.03, 2 Bi 2.95
7 Pt 0.5000 0.5000 0.0000  8 Pt 2.95, 4 Bi 3.03
8 Pt 0.5000 0.5000 0.5000  8 Pt 2.82, 4 Sb 3.03



4.
First-principles (PBE) data for ZrScP2Pb after structural relaxation, as listed in the Alexandria database.

E_tot, eV per atom: -4.706
Energy relative to the elements, eV/atom: 1.18

Cell: 5.1717 5.1717 5.4029 Å, 90.00 90.00 90.00°
Last column: nearest neighbours and their distance in Å.
Element x y z (fractional)
1 Zr 0.0000 0.0000 0.0000  2 Pb 2.70
2 Sc 0.5000 0.5000 0.0000  4 Zr 3.66, 8 P 3.74
3 P 0.0000 0.5000 0.5000  2 Pb 2.59
4 P 0.5000 0.0000 0.5000  2 Pb 2.59
5 Pb 0.0000 0.0000 0.5000  4 P 2.59, 2 Zr 2.70



5.
First-principles (PBE) data for SrCa2CuN after structural relaxation, as listed in the Alexandria database.

Formation energy from raw total energies, eV/atom: -0.35
E_tot, eV per atom: -3.976

Cell: 4.8359 4.8359 5.2518 Å, 90.00 90.00 90.00°
Last column: nearest neighbours and their distance in Å.
Element x y z (fractional)
1 Sr 0.0000 0.0000 0.0000  2 N 2.63
2 Ca 0.0000 0.5000 0.5000  2 N 2.42
3 Ca 0.5000 0.0000 0.5000  2 N 2.42
4 Cu 0.5000 0.5000 0.0000  4 Sr 3.42, 8 Ca 3.57
5 N 0.0000 0.0000 0.5000  4 Ca 2.42, 2 Sr 2.63



6.
First-principles (PBE) data for Rb2ZrTeI6 after structural relaxation, as listed in the Alexandria database.

Formation energy from raw total energies, eV/atom: -0.81
E_tot, eV per atom: -3.103

Cell: 8.8853 8.8853 8.8853 Å, 115.31 115.31 98.34°
Last column: nearest neighbours and their distance in Å.
Element x y z (fractional)
1 Rb 0.2500 0.7500 0.5000  12 I 4.47-4.75
2 Rb 0.7500 0.2500 0.5000  12 I 4.47-4.75
3 Zr 0.0000 0.0000 0.0000  6 I 2.88-2.89
4 Te 0.5000 0.5000 0.0000  2 I 2.93
5 I 0.2153 0.2153 0.4306  1 Zr 2.89
6 I 0.2153 0.7847 0.0000  1 Zr 2.89
7 I 0.2478 0.2478 0.0000  1 Zr 2.88, 1 Te 2.93
8 I 0.7522 0.7522 0.0000  1 Zr 2.88, 1 Te 2.93
9 I 0.7847 0.2153 0.0000  1 Zr 2.89
10 I 0.7847 0.7847 0.5694  1 Zr 2.89



7.
First-principles (PBE) data for LiSiH after structural relaxation, as listed in the Alexandria database.

E_tot, eV per atom: -3.657

Cell: 4.4498 3.6664 5.3849 Å, 90.00 113.60 90.00°
Last column: nearest neighbours and their distance in Å.
Element x y z (fractional)
1 Li 0.0000 0.0000 0.0000  4 H 2.05-2.30
2 Li 0.3307 0.5000 0.5490  1 H 1.90
3 Si 0.6007 0.5000 0.1714  2 H 1.55-1.57
4 Si 0.8108 0.0000 0.4498  2 Si 2.32
5 H 0.2177 0.5000 0.0218  1 Si 1.57
6 H 0.6611 0.5000 0.9070  1 Si 1.55



8.
First-principles (PBE) data for Cs2NaCdCl5 after structural relaxation, as listed in the Alexandria database.

Formation energy from raw total energies, eV/atom: -1.63
E_tot, eV per atom: -3.092

Cell: 10.0582 10.0582 14.4372 Å, 90.00 90.00 155.05°
Last column: nearest neighbours and their distance in Å.
Element x y z (fractional)
1 Cs 0.1058 0.8942 0.5000  5 Cl 3.42-3.54
2 Cs 0.1368 0.8632 0.1233  8 Cl 3.46-3.73
3 Cs 0.8632 0.1368 0.6233  8 Cl 3.46-3.73
4 Cs 0.8942 0.1058 0.0000  5 Cl 3.42-3.54
5 Na 0.4370 0.5630 0.2739  4 Cl 2.61-2.72
6 Na 0.5630 0.4370 0.7739  4 Cl 2.61-2.72
7 Cd 0.2146 0.7854 0.8439  6 Cl 2.56-2.84
8 Cd 0.7854 0.2146 0.3439  6 Cl 2.56-2.84
9 Cl 0.0820 0.9180 0.8758  1 Cd 2.64, 2 Na 2.65
10 Cl 0.2781 0.7219 0.4639  2 Cd 2.78
11 Cl 0.3044 0.6956 0.2197  1 Na 2.72, 2 Cd 2.84
12 Cl 0.3434 0.6566 0.8195  1 Cd 2.56
13 Cl 0.4999 0.5001 0.1143  1 Na 2.61
14 Cl 0.5001 0.4999 0.6143  1 Na 2.61
15 Cl 0.6566 0.3434 0.3195  1 Cd 2.56
16 Cl 0.6956 0.3044 0.7197  1 Na 2.72, 2 Cd 2.84
17 Cl 0.7219 0.2781 0.9639  2 Cd 2.78
18 Cl 0.9180 0.0820 0.3757  1 Cd 2.64, 2 Na 2.65



9.
First-principles (PBE) data for NpPaGa after structural relaxation, as listed in the Alexandria database.

E_tot, eV per atom: -8.355
Energy relative to the elements, eV/atom: 0.13

Cell: 8.5730 8.3136 3.0078 Å, 84.64 74.91 20.45°
Last column: nearest neighbours and their distance in Å.
Element x y z (fractional)
1 Np 0.0000 0.0000 0.0000  6 Np 3.01-3.06, 2 Ga 3.04, 2 Pa 3.27
2 Pa 0.3232 0.3232 0.6768  6 Pa 3.01-3.06, 2 Ga 3.06, 2 Np 3.27
3 Ga 0.6609 0.6609 0.3391  6 Ga 3.01-3.06, 2 Np 3.04, 2 Pa 3.06



10.
First-principles (PBE) data for K3CdH5 after structural relaxation, as listed in the Alexandria database.

E_tot, eV per atom: -2.510

Cell: 7.9416 7.9416 7.9416 Å, 122.97 122.97 84.92°
Last column: nearest neighbours and their distance in Å.
Element x y z (fractional)
1 K 0.1806 0.6806 0.8611  4 H 2.68-2.78
2 K 0.2500 0.2500 0.0000  10 H 2.93-3.15
3 K 0.3194 0.1806 0.5000  4 H 2.68-2.78
4 K 0.6806 0.8194 0.5000  4 H 2.68-2.78
5 K 0.7500 0.7500 0.0000  10 H 2.93-3.15
6 K 0.8194 0.3194 0.1389  4 H 2.68-2.78
7 Cd 0.2500 0.7500 0.5000  4 H 1.83
8 Cd 0.7500 0.2500 0.5000  4 H 1.83
9 H 0.0000 0.0000 0.0000  6 K 2.78-2.93
10 H 0.0190 0.7904 0.5000  1 Cd 1.83
11 H 0.2096 0.7096 0.2286  1 Cd 1.83
12 H 0.2904 0.5190 0.5000  1 Cd 1.83
13 H 0.4810 0.9810 0.7714  1 Cd 1.83
14 H 0.5000 0.5000 0.0000  6 K 2.78-2.93
15 H 0.5190 0.0190 0.2286  1 Cd 1.83
16 H 0.7096 0.4810 0.5000  1 Cd 1.83
17 H 0.7904 0.2904 0.7714  1 Cd 1.83
18 H 0.9810 0.2096 0.5000  1 Cd 1.83



11.
First-principles (PBE) data for Y3Al3Zn8 after structural relaxation, as listed in the Alexandria database.

E_tot, eV per atom: -3.298
Energy relative to the elements, eV/atom: -0.38

Cell: 8.1799 8.1799 8.1799 Å, 149.79 108.58 79.47°
Last column: nearest neighbours and their distance in Å.
Element x y z (fractional)
1 Y 0.0000 0.0000 0.0000  12 Zn 3.16-3.21, 4 Al 3.52
2 Y 0.3048 0.3048 0.0000  10 Zn 3.05-3.35, 4 Al 3.15-3.25
3 Y 0.6952 0.6952 0.0000  10 Zn 3.05-3.35, 4 Al 3.15-3.25
4 Al 0.2929 0.5000 0.7929  6 Zn 2.56-2.77
5 Al 0.5000 0.0000 0.5000  4 Zn 2.77, 4 Al 2.91
6 Al 0.7071 0.5000 0.2071  6 Zn 2.56-2.77
7 Zn 0.0309 0.6625 0.3684  4 Zn 2.51-2.65, 1 Al 2.56
8 Zn 0.1357 0.8605 0.2753  3 Zn 2.55-2.65, 3 Al 2.77
9 Zn 0.2940 0.6625 0.6316  4 Zn 2.51-2.65, 1 Al 2.56
10 Zn 0.4148 0.1395 0.2753  3 Zn 2.55-2.65, 3 Al 2.77
11 Zn 0.5852 0.8605 0.7247  3 Zn 2.55-2.65, 3 Al 2.77
12 Zn 0.7060 0.3375 0.3684  4 Zn 2.51-2.65, 1 Al 2.56
13 Zn 0.8643 0.1395 0.7247  3 Zn 2.55-2.65, 3 Al 2.77
14 Zn 0.9691 0.3375 0.6316  4 Zn 2.51-2.65, 1 Al 2.56



12.
First-principles (PBE) data for PmSmY2Tm2 after structural relaxation, as listed in the Alexandria database.

E_tot, eV per atom: -4.952
Energy relative to the elements, eV/atom: 0.27

Cell: 6.5252 17.8578 3.4104 Å, 90.00 90.00 90.00°
Last column: nearest neighbours and their distance in Å.
Element x y z (fractional)
1 Pm 0.0000 0.0000 0.0000  2 Tm 3.20, 2 Pm 3.41
2 Pm 0.5000 0.5000 0.5000  2 Tm 3.20, 2 Pm 3.41
3 Sm 0.0000 0.5000 0.0000  2 Sm 3.41, 4 Tm 3.46, 4 Pm 3.68
4 Sm 0.5000 0.0000 0.5000  2 Sm 3.41, 4 Tm 3.46, 4 Pm 3.68
5 Y 0.2228 0.1875 0.0000  4 Tm 3.33-3.40, 2 Y 3.41, 1 Pm 3.65
6 Y 0.2772 0.6875 0.5000  4 Tm 3.33-3.40, 2 Y 3.41, 1 Pm 3.65
7 Y 0.7228 0.3125 0.5000  4 Tm 3.33-3.40, 2 Y 3.41, 1 Pm 3.65
8 Y 0.7772 0.8125 0.0000  4 Tm 3.33-3.40, 2 Y 3.41, 1 Pm 3.65
9 Tm 0.2220 0.3525 0.5000  1 Pm 3.20, 4 Y 3.33-3.40, 2 Tm 3.41, 2 Sm 3.46
10 Tm 0.2780 0.8525 0.0000  1 Pm 3.20, 4 Y 3.33-3.40, 2 Tm 3.41, 2 Sm 3.46
11 Tm 0.7220 0.1475 0.0000  1 Pm 3.20, 4 Y 3.33-3.40, 2 Tm 3.41, 2 Sm 3.46
12 Tm 0.7780 0.6475 0.5000  1 Pm 3.20, 4 Y 3.33-3.40, 2 Tm 3.41, 2 Sm 3.46



13.
First-principles (PBE) data for MnTl4As2 after structural relaxation, as listed in the Alexandria database.

E_tot, eV per atom: -3.587
Energy relative to the elements, eV/atom: 0.40

Cell: 8.0753 8.0753 8.0753 Å, 141.04 141.04 56.28°
Last column: nearest neighbours and their distance in Å.
Element x y z (fractional)
1 Mn 0.0000 0.0000 0.0000  6 Tl 2.69-2.71
2 Tl 0.0000 0.5000 0.5000  2 Mn 2.69
3 Tl 0.1905 0.1905 0.0000  1 As 2.71, 1 Mn 2.71
4 Tl 0.5000 0.0000 0.5000  2 Mn 2.69
5 Tl 0.8095 0.8095 0.0000  1 As 2.71, 1 Mn 2.71
6 As 0.3808 0.3808 0.0000  1 Tl 2.71
7 As 0.6192 0.6192 0.0000  1 Tl 2.71



14.
First-principles (PBE) data for HfNbIn2 after structural relaxation, as listed in the Alexandria database.

E_tot, eV per atom: -6.322
Energy relative to the elements, eV/atom: 0.05

Cell: 10.2229 10.2229 10.2229 Å, 17.61 17.61 17.61°
Last column: nearest neighbours and their distance in Å.
Element x y z (fractional)
1 Hf 0.0000 0.0000 0.0000  6 Hf 3.13, 6 In 3.17
2 Nb 0.5000 0.5000 0.5000  6 In 3.03, 6 Nb 3.13
3 In 0.2472 0.2472 0.2472  3 Nb 3.03, 6 In 3.13, 3 Hf 3.17
4 In 0.7528 0.7528 0.7528  3 Nb 3.03, 6 In 3.13, 3 Hf 3.17



15.
First-principles (PBE) data for LiAcCd2In after structural relaxation, as listed in the Alexandria database.

E_tot, eV per atom: -2.408
Energy relative to the elements, eV/atom: -0.29

Cell: 6.8756 6.8756 6.8756 Å, 139.77 139.77 58.20°
Last column: nearest neighbours and their distance in Å.
Element x y z (fractional)
1 Li 0.0000 0.0000 0.0000  4 Cd 2.85
2 Ac 0.7500 0.2500 0.5000  8 Cd 3.63, 4 In 3.82, 4 Li 3.82
3 Cd 0.1331 0.6331 0.5000  1 Cd 2.81, 2 In 2.85, 2 Li 2.85
4 Cd 0.3669 0.8669 0.5000  1 Cd 2.81, 2 In 2.85, 2 Li 2.85
5 In 0.5000 0.5000 0.0000  4 Cd 2.85



16.
First-principles (PBE) data for SrMnH8Ir2 after structural relaxation, as listed in the Alexandria database.

E_tot, eV per atom: -4.779

Cell: 6.2870 6.2870 6.2870 Å, 44.01 44.01 44.01°
Last column: nearest neighbours and their distance in Å.
Element x y z (fractional)
1 Sr 0.0000 0.0000 0.0000  18 H 2.76-2.77
2 Mn 0.5000 0.5000 0.5000  6 H 1.82
3 H 0.1303 0.5618 0.5618  1 Ir 1.67, 1 Mn 1.82, 1 H 1.83
4 H 0.3068 0.3068 0.3068  1 Ir 1.60
5 H 0.4382 0.4382 0.8697  1 Ir 1.67, 1 Mn 1.82, 1 H 1.83
6 H 0.4382 0.8697 0.4382  1 Ir 1.67, 1 Mn 1.82, 1 H 1.83
7 H 0.5618 0.1303 0.5618  1 Ir 1.67, 1 Mn 1.82, 1 H 1.83
8 H 0.5618 0.5618 0.1303  1 Ir 1.67, 1 Mn 1.82, 1 H 1.83
9 H 0.6932 0.6932 0.6932  1 Ir 1.60
10 H 0.8697 0.4382 0.4382  1 Ir 1.67, 1 Mn 1.82, 1 H 1.83
11 Ir 0.2124 0.2124 0.2124  4 H 1.60-1.67
12 Ir 0.7876 0.7876 0.7876  4 H 1.60-1.67



17.
First-principles (PBE) data for BaHgAu2 after structural relaxation, as listed in the Alexandria database.

E_tot, eV per atom: -2.704
Energy relative to the elements, eV/atom: -0.51

Cell: 4.9514 4.9514 6.0434 Å, 114.27 114.27 60.09°
Last column: nearest neighbours and their distance in Å.
Element x y z (fractional)
1 Ba 0.0000 0.0000 0.0000  8 Au 3.40-3.44
2 Hg 0.5000 0.5000 0.5000  6 Au 2.95-2.96
3 Au 0.2128 0.2128 0.6392  3 Hg 2.95-2.96, 3 Au 3.21-3.23
4 Au 0.7872 0.7872 0.3608  3 Hg 2.95-2.96, 3 Au 3.21-3.23



18.
First-principles (PBE) data for CaP2Pb after structural relaxation, as listed in the Alexandria database.

E_tot, eV per atom: -4.453
Energy relative to the elements, eV/atom: -0.32

Cell: 3.9204 3.9204 6.1559 Å, 90.00 90.00 90.00°
Last column: nearest neighbours and their distance in Å.
Element x y z (fractional)
1 Ca 0.0000 0.0000 0.0000  8 P 2.99, 2 Pb 3.08
2 P 0.5000 0.5000 0.1809  1 P 2.23
3 P 0.5000 0.5000 0.8191  1 P 2.23
4 Pb 0.0000 0.0000 0.5000  2 Ca 3.08, 8 P 3.40



19.
First-principles (PBE) data for TaReRh2 after structural relaxation, as listed in the Alexandria database.

E_tot, eV per atom: -9.938
Energy relative to the elements, eV/atom: -0.19

Cell: 2.7842 2.7842 7.9261 Å, 90.00 90.00 90.00°
Last column: nearest neighbours and their distance in Å.
Element x y z (fractional)
1 Ta 0.0000 0.0000 0.0000  4 Rh 2.76, 4 Ta 2.78, 4 Re 2.93
2 Re 0.5000 0.5000 0.2739  4 Rh 2.66, 4 Re 2.78, 4 Ta 2.93
3 Rh 0.0000 0.0000 0.4997  4 Re 2.66, 8 Rh 2.78-2.83
4 Rh 0.5000 0.5000 0.7554  4 Ta 2.76, 8 Rh 2.78-2.83



20.
First-principles (PBE) data for Cs3Ba2NpSe6 after structural relaxation, as listed in the Alexandria database.

Formation energy from raw total energies, eV/atom: -1.46
E_tot, eV per atom: -4.818

Cell: 8.0421 8.0421 8.7396 Å, 98.88 98.88 119.86°
Last column: nearest neighbours and their distance in Å.
Element x y z (fractional)
1 Cs 0.0000 0.0000 0.0000  6 Se 3.59-3.99
2 Cs 0.3275 0.6725 0.0000  6 Se 3.60-3.93
3 Cs 0.6725 0.3275 0.0000  6 Se 3.60-3.93
4 Ba 0.1661 0.8339 0.5000  6 Se 3.30-3.31
5 Ba 0.8339 0.1661 0.5000  6 Se 3.30-3.31
6 Np 0.5000 0.5000 0.5000  6 Se 2.81
7 Se 0.1486 0.4359 0.3076  1 Np 2.81
8 Se 0.2797 0.2797 0.6943  1 Np 2.81
9 Se 0.4359 0.1486 0.3076  1 Np 2.81
10 Se 0.5641 0.8514 0.6924  1 Np 2.81
11 Se 0.7203 0.7203 0.3057  1 Np 2.81
12 Se 0.8514 0.5641 0.6924  1 Np 2.81